VASP calculation (GGA-PBE) on In2CoIr after structural relaxation.

Output
As for the symmetry: P4mm. The calculated density comes out at 11.12 g/cm³. Its formation energy is 0.7 eV per formula unit. For the total energy, the calculation gives -5.20 eV per atom. For the volume, the calculation gives 17.9 Å³ per atom.

a = 2.975 Å, b = 2.975 Å, c = 8.113 Å
α = 90.00°, β = 90.00°, γ = 90.00°
Each line ends with the local moment (μB).
Positions (direct):
In1 0.500 0.500 0.297  -0.02
Ir1 0.000 0.000 0.538  0.42
Co1 0.500 0.500 0.720  1.51
In2 0.000 0.000 0.945  -0.02